Here is crystalline SrZn2Ag10 at its relaxed geometry from Alexandria. Energies are from PBE.

Lattice parameters (Å, degrees): 9.6000 7.4016 7.2234 82.04 49.78 48.18
Atoms (fractional coordinates):
Sr  0.0000  0.0000  0.0000
Zn  0.0000  0.5000  0.0000
Zn  0.5000  0.0000  0.5000
Ag  0.0000  0.0000  0.5000
Ag  0.0046  0.3512  0.6488
Ag  0.2766  0.4928  0.5072
Ag  0.3512  0.0046  0.9954
Ag  0.4928  0.2766  0.7234
Ag  0.5000  0.5000  0.0000
Ag  0.5072  0.7234  0.2766
Ag  0.6488  0.9954  0.0046
Ag  0.7234  0.5072  0.4928
Ag  0.9954  0.6488  0.3512

Results
Space group = No. 69
Mass density = 8.59 Mg/m³
DFT total energy = -33.9 eV per cell
Magnetic moment = 0.0 μB per cell